# LuPa2Sb | Alexandria via LeMat-Bulk | PBE | relaxed
data_LuPa2Sb
_cell_length_a 4.4362
_cell_length_b 4.4362
_cell_length_c 5.0355
_cell_angle_alpha 90.00
_cell_angle_beta 90.00
_cell_angle_gamma 90.00
_symmetry_space_group_name_H-M 'P 4/m m m'
_symmetry_Int_Tables_number 123
_symmetry_space_group_name_Hall '-P 4 2'
loop_
_atom_site_label
_atom_site_type_symbol
_atom_site_fract_x
_atom_site_fract_y
_atom_site_fract_z
Lu1 Lu 0.0000 0.0000 0.0000
Pa1 Pa 0.0000 0.5000 0.5000
Sb1 Sb 0.5000 0.5000 0.0000
# Formation energy from raw total energies in meV per atom: -277
# Relative energy among the computed polymorphs in meV/atom: 0
# VASP energy in eV/atom: -7.186


# LuPa2Sb | Alexandria via LeMat-Bulk | PBE | relaxed
data_LuPa2Sb
_cell_length_a 3.2463
_cell_length_b 3.2463
_cell_length_c 36.1388
_cell_angle_alpha 90.00
_cell_angle_beta 90.00
_cell_angle_gamma 120.00
_symmetry_space_group_name_H-M 'R -3 m'
_symmetry_Int_Tables_number 166
_symmetry_space_group_name_Hall '-R 3 2"'
loop_
_atom_site_label
_atom_site_type_symbol
_atom_site_fract_x
_atom_site_fract_y
_atom_site_fract_z
Lu1 Lu 0.0000 0.0000 0.0000
Pa1 Pa 0.0000 0.0000 0.4132
Sb1 Sb 0.0000 0.0000 0.5000
# Formation energy from raw total energies in meV per atom: 232
# Relative energy among the computed polymorphs in meV/atom: 509
# VASP energy in eV/atom: -6.677


# Lu2PaSb | Alexandria via LeMat-Bulk | PBE | relaxed
data_Lu2PaSb
_cell_length_a 3.8011
_cell_length_b 3.8011
_cell_length_c 7.1693
_cell_angle_alpha 90.00
_cell_angle_beta 90.00
_cell_angle_gamma 90.00
_symmetry_space_group_name_H-M 'P 4/m m m'
_symmetry_Int_Tables_number 123
_symmetry_space_group_name_Hall '-P 4 2'
loop_
_atom_site_label
_atom_site_type_symbol
_atom_site_fract_x
_atom_site_fract_y
_atom_site_fract_z
Lu1 Lu 0.0000 0.0000 0.2287
Pa1 Pa 0.5000 0.5000 0.5000
Sb1 Sb 0.5000 0.5000 0.0000
# Formation energy from raw total energies in meV per atom: -290
# Relative energy among the computed polymorphs in meV/atom: 0
# VASP energy in eV/atom: -5.955


# Lu2PaSb | Alexandria via LeMat-Bulk | PBE | relaxed
data_Lu2PaSb
_cell_length_a 3.4325
_cell_length_b 3.4325
_cell_length_c 31.3309
_cell_angle_alpha 90.00
_cell_angle_beta 90.00
_cell_angle_gamma 120.00
_symmetry_space_group_name_H-M 'R -3 m'
_symmetry_Int_Tables_number 166
_symmetry_space_group_name_Hall '-R 3 2"'
loop_
_atom_site_label
_atom_site_type_symbol
_atom_site_fract_x
_atom_site_fract_y
_atom_site_fract_z
Lu1 Lu 0.0000 0.0000 0.2466
Pa1 Pa 0.0000 0.0000 0.0000
Sb1 Sb 0.0000 0.0000 0.5000
# Formation energy from raw total energies in meV per atom: -186
# Relative energy among the computed polymorphs in meV/atom: 104
# VASP energy in eV/atom: -5.851


# Lu2PaSb | Alexandria via LeMat-Bulk | PBE | relaxed
data_Lu2PaSb
_cell_length_a 4.7532
_cell_length_b 4.7532
_cell_length_c 4.5089
_cell_angle_alpha 90.00
_cell_angle_beta 90.00
_cell_angle_gamma 90.00
_symmetry_space_group_name_H-M 'P 4/m m m'
_symmetry_Int_Tables_number 123
_symmetry_space_group_name_Hall '-P 4 2'
loop_
_atom_site_label
_atom_site_type_symbol
_atom_site_fract_x
_atom_site_fract_y
_atom_site_fract_z
Lu1 Lu 0.0000 0.5000 0.0000
Pa1 Pa 0.0000 0.0000 0.5000
Sb1 Sb 0.5000 0.5000 0.5000
# Formation energy from raw total energies in meV per atom: -259
# Relative energy among the computed polymorphs in meV/atom: 31
# VASP energy in eV/atom: -5.924


# LuScPa2 | Alexandria via LeMat-Bulk | PBE | relaxed
data_LuScPa2
_cell_length_a 7.4691
_cell_length_b 7.4691
_cell_length_c 7.4691
_cell_angle_alpha 90.00
_cell_angle_beta 90.00
_cell_angle_gamma 90.00
_symmetry_space_group_name_H-M 'F m -3 m'
_symmetry_Int_Tables_number 225
_symmetry_space_group_name_Hall '-F 4 2 3'
loop_
_atom_site_label
_atom_site_type_symbol
_atom_site_fract_x
_atom_site_fract_y
_atom_site_fract_z
Lu1 Lu 0.0000 0.0000 0.0000
Sc1 Sc 0.0000 0.0000 0.5000
Pa1 Pa 0.2500 0.2500 0.2500
# VASP energy in eV/atom: -7.033


VASP energy of number 6 (LuScPa2)?
-7.033 eV/atom